[1]
Compound: MgIrAuSe3
Source: OQMD via LeMat-Bulk
Functional: PBE-GGA
Structure: relaxed

Summary:
Total DFT energy (no corrections)   -53.133 eV/cell

Unit cell a=6.9393 b=6.9393 c=10.0312 alpha=90.00 beta=90.00 gamma=147.93
With the nearest neighbours (Å) after each atom.
Sites, in units of the cell vectors:
1 Mg 0.1895 0.8105 0.7500  4 Se 2.62-2.77, 2 Au 2.80
2 Mg 0.8105 0.1895 0.2500  4 Se 2.62-2.77, 2 Au 2.80
3 Ir 0.5000 0.5000 0.0000  6 Se 2.52-2.61
4 Ir 0.5000 0.5000 0.5000  6 Se 2.52-2.61
5 Au 0.1579 0.8421 0.2500  2 Se 2.44
6 Au 0.8421 0.1579 0.7500  2 Se 2.44
7 Se 0.1225 0.8775 0.0110  1 Au 2.44, 2 Ir 2.52
8 Se 0.1225 0.8775 0.4890  1 Au 2.44, 2 Ir 2.52
9 Se 0.4447 0.5553 0.2500  2 Ir 2.61, 2 Mg 2.62
10 Se 0.5553 0.4447 0.7500  2 Ir 2.61, 2 Mg 2.62
11 Se 0.8775 0.1225 0.5110  1 Au 2.44, 2 Ir 2.52
12 Se 0.8775 0.1225 0.9890  1 Au 2.44, 2 Ir 2.52

[2]
Compound: Sm3Mg3IrAu2
Source: OQMD via LeMat-Bulk
Functional: PBE-GGA
Structure: relaxed

Summary:
Total DFT energy (no corrections)   -39.960 eV/cell

Unit cell a=7.5298 b=7.5298 c=4.2311 alpha=90.00 beta=90.00 gamma=120.00
With the nearest neighbours (Å) after each atom.
Sites, in units of the cell vectors:
1 Sm 0.0000 0.3984 0.0000  1 Ir 3.00, 4 Au 3.13
2 Sm 0.3984 0.0000 0.0000  1 Ir 3.00, 4 Au 3.13
3 Sm 0.6016 0.6016 0.0000  1 Ir 3.00, 4 Au 3.13
4 Mg 0.0000 0.7639 0.5000  2 Ir 2.76, 2 Au 2.95, 2 Mg 3.08
5 Mg 0.2361 0.2361 0.5000  2 Ir 2.76, 2 Au 2.95, 2 Mg 3.08
6 Mg 0.7639 0.0000 0.5000  2 Ir 2.76, 2 Au 2.95, 2 Mg 3.08
7 Ir 0.0000 0.0000 0.0000  6 Mg 2.76, 3 Sm 3.00
8 Au 0.3333 0.6667 0.5000  3 Mg 2.95, 6 Sm 3.13
9 Au 0.6667 0.3333 0.5000  3 Mg 2.95, 6 Sm 3.13

[3]
Compound: MgTe3IrAu
Source: OQMD via LeMat-Bulk
Functional: PBE-GGA
Structure: relaxed

Summary:
Total DFT energy (no corrections)   -49.478 eV/cell

Unit cell a=7.3231 b=7.3231 c=10.8027 alpha=90.00 beta=90.00 gamma=148.16
With the nearest neighbours (Å) after each atom.
Sites, in units of the cell vectors:
1 Mg 0.1965 0.8035 0.7500  2 Au 2.80, 4 Te 2.89-3.00
2 Mg 0.8035 0.1965 0.2500  2 Au 2.80, 4 Te 2.89-3.00
3 Te 0.1254 0.8746 0.0115  1 Au 2.64, 2 Ir 2.68
4 Te 0.1254 0.8746 0.4885  1 Au 2.64, 2 Ir 2.68
5 Te 0.4512 0.5488 0.2500  2 Ir 2.79, 2 Mg 2.89
6 Te 0.5488 0.4512 0.7500  2 Ir 2.79, 2 Mg 2.89
7 Te 0.8746 0.1254 0.5115  1 Au 2.64, 2 Ir 2.68
8 Te 0.8746 0.1254 0.9885  1 Au 2.64, 2 Ir 2.68
9 Ir 0.5000 0.5000 0.0000  6 Te 2.68-2.79
10 Ir 0.5000 0.5000 0.5000  6 Te 2.68-2.79
11 Au 0.1653 0.8347 0.2500  2 Te 2.64, 2 Mg 2.80
12 Au 0.8347 0.1653 0.7500  2 Te 2.64, 2 Mg 2.80

[4]
Compound: Y3Mg3Ir2Au
Source: OQMD via LeMat-Bulk
Functional: PBE-GGA
Structure: relaxed

Summary:
Total DFT energy (no corrections)   -51.136 eV/cell

Unit cell a=7.4016 b=7.4016 c=4.0438 alpha=90.00 beta=90.00 gamma=120.00
With the nearest neighbours (Å) after each atom.
Sites, in units of the cell vectors:
1 Y 0.0000 0.5820 0.0000  4 Ir 3.00, 1 Au 3.09, 2 Mg 3.16
2 Y 0.4180 0.4180 0.0000  4 Ir 3.00, 1 Au 3.09, 2 Mg 3.16
3 Y 0.5820 0.0000 0.0000  4 Ir 3.00, 1 Au 3.09, 2 Mg 3.16
4 Mg 0.0000 0.2539 0.5000  2 Au 2.76, 2 Ir 2.81
5 Mg 0.2539 0.0000 0.5000  2 Au 2.76, 2 Ir 2.81
6 Mg 0.7461 0.7461 0.5000  2 Au 2.76, 2 Ir 2.81
7 Ir 0.3333 0.6667 0.5000  3 Mg 2.81, 6 Y 3.00
8 Ir 0.6667 0.3333 0.5000  3 Mg 2.81, 6 Y 3.00
9 Au 0.0000 0.0000 0.0000  6 Mg 2.76

[5]
Compound: MoIrAu
Source: OQMD via LeMat-Bulk
Functional: PBE-GGA
Structure: relaxed

Summary:
DFT formation energy   525 meV per atom
Total DFT energy (no corrections)   -21.395 eV/cell

Unit cell a=4.3038 b=4.3038 c=4.3038 alpha=60.00 beta=60.00 gamma=60.00
With the nearest neighbours (Å) after each atom.
Sites, in units of the cell vectors:
1 Mo 0.0000 0.0000 0.0000  4 Ir 2.64
2 Ir 0.7500 0.7500 0.7500  4 Mo 2.64, 4 Au 2.64
3 Au 0.5000 0.5000 0.5000  4 Ir 2.64

[6]
Compound: MoIr2Au
Source: OQMD via LeMat-Bulk
Functional: PBE-GGA
Structure: relaxed

Summary:
DFT formation energy   449 meV per atom
Total DFT energy (no corrections)   -30.028 eV/cell

Unit cell a=4.4710 b=4.4710 c=4.4710 alpha=60.00 beta=60.00 gamma=60.00
With the nearest neighbours (Å) after each atom.
Sites, in units of the cell vectors:
1 Mo 0.0000 0.0000 0.0000  4 Au 2.74, 4 Ir 2.74
2 Ir 0.2500 0.2500 0.2500  4 Mo 2.74, 4 Ir 2.74
3 Ir 0.5000 0.5000 0.5000  4 Au 2.74, 4 Ir 2.74
4 Au 0.7500 0.7500 0.7500  4 Mo 2.74, 4 Ir 2.74